1.
Crystalline Ca3In5Ag2 at its relaxed geometry, computed with PBE.

Output
V = 28.0 Å³/atom
D(E_F) = 0.41 states/eV/atom

a = 6.7126 Å, b = 9.7255 Å, c = 9.7255 Å
α = 81.66°, β = 69.81°, γ = 69.81°
Last column: nearest neighbours and their distance in Å.
Element x y z (fractional)
1 Ag 0.8640 0.2772 0.9949  3 In 2.68-2.85
2 In 0.1243 0.5239 0.2274  1 Ag 2.68, 2 In 3.00
3 Ca 0.3697 0.3947 0.8658  1 Ag 3.29, 4 In 3.51-3.54
4 In 0.5036 0.2464 0.2464  2 Ag 2.85, 2 In 3.04
5 In 0.9964 0.7536 0.7536  2 Ag 2.85, 2 In 3.04
6 Ca 0.6303 0.6053 0.1342  1 Ag 3.29, 4 In 3.51-3.54
7 In 0.6243 0.2274 0.5239  1 Ag 2.68, 2 In 3.00
8 In 0.3757 0.7726 0.4761  1 Ag 2.68, 2 In 3.00
9 In 0.4964 0.7536 0.7536  2 Ag 2.85, 2 In 3.04
10 Ag 0.1360 0.7228 0.0051  3 In 2.68-2.85
11 In 0.7500 0.5000 0.5000  8 In 3.00-3.36
12 Ag 0.6360 0.0051 0.7228  3 In 2.68-2.85
13 Ca 0.1303 0.1342 0.6053  1 Ag 3.29, 4 In 3.51-3.54
14 Ca 0.7500 0.0000 0.0000  4 Ag 3.04, 2 In 3.23, 2 Ca 3.36
15 Ca 0.8697 0.8658 0.3947  1 Ag 3.29, 4 In 3.51-3.54
16 Ag 0.3640 0.9949 0.2772  3 In 2.68-2.85
17 In 0.2500 0.5000 0.5000  8 In 3.00-3.36
18 In 0.8757 0.4761 0.7726  1 Ag 2.68, 2 In 3.00
19 In 0.0036 0.2464 0.2464  2 Ag 2.85, 2 In 3.04
20 Ca 0.2500 0.0000 0.0000  4 Ag 3.04, 2 In 3.23, 2 Ca 3.36

2.
Crystalline CsNa10Hg3 at its relaxed geometry, computed with PBE.

Output
V = 37.6 Å³/atom
D(E_F) = 0.23 states/eV/atom

a = 11.4229 Å, b = 11.4229 Å, c = 11.4229 Å
α = 60.00°, β = 60.00°, γ = 60.00°
Last column: nearest neighbours and their distance in Å.
Element x y z (fractional)
1 Na 0.3336 0.0000 0.6664  2 Hg 3.14
2 Na 0.6075 0.6075 0.1775  3 Hg 3.18, 3 Na 3.47
3 Na 0.6075 0.6075 0.6075  3 Hg 3.18, 3 Na 3.47
4 Na 0.3925 0.3925 0.8225  3 Hg 3.18, 3 Na 3.47
5 Hg 0.2672 0.2672 0.7328  8 Na 3.14-3.18
6 Na 0.1775 0.6075 0.6075  3 Hg 3.18, 3 Na 3.47
7 Na 0.0000 0.3336 0.0000  2 Hg 3.14
8 Hg 0.7328 0.2672 0.7328  8 Na 3.14-3.18
9 Hg 0.2672 0.7328 0.2672  8 Na 3.14-3.18
10 Na 0.3336 0.6664 0.0000  2 Hg 3.14
11 Na 0.0000 0.6664 0.3336  2 Hg 3.14
12 Na 0.0000 0.6664 0.0000  2 Hg 3.14
13 Na 0.6664 0.3336 0.0000  2 Hg 3.14
14 Hg 0.2672 0.7328 0.7328  8 Na 3.14-3.18
15 Na 0.0000 0.0000 0.6664  2 Hg 3.14
16 Cs 0.7500 0.7500 0.7500  16 Na 3.99-4.46
17 Na 0.3336 0.0000 0.0000  2 Hg 3.14
18 Na 0.0000 0.0000 0.3336  2 Hg 3.14
19 Na 0.3925 0.3925 0.3925  3 Hg 3.18, 3 Na 3.47
20 Na 0.6075 0.1775 0.6075  3 Hg 3.18, 3 Na 3.47
21 Na 0.6664 0.0000 0.0000  2 Hg 3.14
22 Cs 0.2500 0.2500 0.2500  16 Na 3.99-4.46
23 Na 0.0000 0.3336 0.6664  2 Hg 3.14
24 Na 0.8225 0.3925 0.3925  3 Hg 3.18, 3 Na 3.47
25 Hg 0.7328 0.2672 0.2672  8 Na 3.14-3.18
26 Na 0.6664 0.0000 0.3336  2 Hg 3.14
27 Hg 0.7328 0.7328 0.2672  8 Na 3.14-3.18
28 Na 0.3925 0.8225 0.3925  3 Hg 3.18, 3 Na 3.47

3.
Crystalline CsKIn2Te4 at its relaxed geometry, computed with PBE.

Output
V = 47.4 Å³/atom
Uncorrected formation energy = -3.64 eV per formula unit

a = 8.1967 Å, b = 7.9542 Å, c = 7.9542 Å
α = 70.61°, β = 58.99°, γ = 58.99°
Last column: nearest neighbours and their distance in Å.
Element x y z (fractional)
1 In 0.7865 0.7135 0.7135  2 Te 2.64
2 Te 0.9837 0.4752 0.0858  1 In 2.64
3 K 0.5000 0.5000 0.5000  4 Te 3.57
4 In 0.2135 0.2865 0.2865  2 Te 2.64
5 Te 0.0163 0.9142 0.5248  1 In 2.64
6 Te 0.4553 0.0858 0.4752  1 In 2.64
7 Cs 0.0000 0.0000 0.0000  8 Te 3.98-4.06
8 Te 0.5447 0.5248 0.9142  1 In 2.64

4.
Crystalline SrHgSb2 at its relaxed geometry, computed with PBE.

Output
V = 30.1 Å³/atom
D(E_F) = 0.20 states/eV/atom
Uncorrected formation energy = -1.89 eV per formula unit

a = 4.5921 Å, b = 4.7031 Å, c = 22.2875 Å
α = 90.00°, β = 90.00°, γ = 90.00°
Last column: nearest neighbours and their distance in Å.
Element x y z (fractional)
1 Hg 0.7500 0.7871 0.2501  4 Sb 3.02-3.09, 4 Hg 3.29
2 Hg 0.7500 0.7129 0.7501  4 Sb 3.02-3.09, 4 Hg 3.29
3 Sb 0.2500 0.7807 0.3383  4 Hg 3.02-3.09
4 Sb 0.2500 0.2028 0.5032  2 Sb 2.99
5 Hg 0.2500 0.2129 0.7499  4 Sb 3.02-3.09, 4 Hg 3.29
6 Sr 0.7500 0.2195 0.8801  8 Sb 3.42-3.60, 4 Hg 3.70-3.75
7 Sr 0.7500 0.2805 0.3801  8 Sb 3.42-3.60, 4 Hg 3.70-3.75
8 Sb 0.7500 0.2193 0.6617  4 Hg 3.02-3.09
9 Hg 0.2500 0.2871 0.2499  4 Sb 3.02-3.09, 4 Hg 3.29
10 Sr 0.2500 0.7195 0.6199  8 Sb 3.42-3.60, 4 Hg 3.70-3.75
11 Sb 0.7500 0.7972 0.4968  2 Sb 2.99
12 Sb 0.2500 0.7193 0.8383  4 Hg 3.02-3.09
13 Sb 0.2500 0.2972 0.0032  2 Sb 2.99
14 Sb 0.7500 0.2807 0.1617  4 Hg 3.02-3.09
15 Sb 0.7500 0.7028 0.9968  2 Sb 2.99
16 Sr 0.2500 0.7805 0.1199  8 Sb 3.42-3.60, 4 Hg 3.70-3.75

no.,DFT total energy (eV per atom)
1,-2.76
2,-1.17
3,-2.95
4,-3.03